[1]
# Li5In

Li5In after structural relaxation (PBE, the Alexandria database).

```
Li5In
1.0
4.8926 -2.3810 0.0000
4.8926 2.3810 0.0000
-3.3246 0.0000 4.6998
Li In
5 1
direct
0.0000 0.0000 0.0000 Li
0.3296 0.3296 0.5338 Li
0.3346 0.3346 0.0516 Li
0.6654 0.6654 0.9484 Li
0.6704 0.6704 0.4662 Li
0.0000 0.0000 0.5000 In
```

Summary:
Energy   -0.082 hartree per atom
ΔE_f   -180.1 meV per atom
M_tot   0.000 μB per atom
Distance to the lowest polymorph of the same formula   0 meV per atom

***

[2]
# Li6In5

Li6In5 after structural relaxation (PBE, the Alexandria database).

```
Li6In5
1.0
4.7098 0.0000 0.0000
0.0000 6.7512 0.0000
-2.3377 0.0000 7.1105
Li In
6 5
direct
0.0000 0.2221 0.0000 Li
0.0000 0.7779 0.0000 Li
0.3496 0.2346 0.6993 Li
0.3496 0.7654 0.6993 Li
0.6504 0.2346 0.3007 Li
0.6504 0.7654 0.3007 Li
0.1657 0.5000 0.3327 In
0.1787 0.0000 0.3566 In
0.5000 0.5000 0.0000 In
0.8213 0.0000 0.6434 In
0.8343 0.5000 0.6673 In
```

Summary:
Energy   -0.093 hartree per atom
ΔE_f   -235.3 meV per atom
M_tot   0.000 μB per atom

***

[3]
# LiIn2

LiIn2 after structural relaxation (PBE, the Alexandria database).

```
LiIn2
1.0
-1.9838 1.9838 4.3903
1.9838 -1.9838 4.3903
1.9838 1.9838 -4.3903
Li In
1 2
direct
0.0000 0.0000 0.0000 Li
0.3294 0.3294 0.0000 In
0.6706 0.6706 0.0000 In
```

Summary:
Energy   -0.096 hartree per atom
ΔE_f   -145.0 meV per atom
M_tot   0.000 μB per atom

***

[4]
# Li13In2

Li13In2 after structural relaxation (PBE, the Alexandria database).

```
Li13In2
1.0
3.8374 2.2155 6.0296
-3.8374 2.2155 6.0296
0.0000 -4.4311 6.0296
Li In
13 2
direct
0.0000 0.0000 0.0000 Li
0.1414 0.1414 0.5331 Li
0.1414 0.5331 0.1414 Li
0.3096 0.3096 0.6884 Li
0.3096 0.6884 0.3096 Li
0.3116 0.6904 0.6904 Li
0.4669 0.8586 0.8586 Li
0.5331 0.1414 0.1414 Li
0.6884 0.3096 0.3096 Li
0.6904 0.3116 0.6904 Li
0.6904 0.6904 0.3116 Li
0.8586 0.4669 0.8586 Li
0.8586 0.8586 0.4669 Li
0.1475 0.1475 0.1475 In
0.8525 0.8525 0.8525 In
```

Summary:
Energy   -0.076 hartree per atom
ΔE_f   -33.9 meV per atom
M_tot   0.000 μB per atom

***

[5]
# LiIn5

LiIn5 after structural relaxation (PBE, the Alexandria database).

```
LiIn5
1.0
-3.5984 3.5984 5.8146
3.5984 -3.5984 5.8146
3.5984 3.5984 -5.8146
Li In
2 10
direct
0.2500 0.2500 0.0000 Li
0.7500 0.7500 0.0000 Li
0.0000 0.0000 0.0000 In
0.0144 0.5144 0.8085 In
0.2058 0.0144 0.5000 In
0.2942 0.7942 0.8085 In
0.4856 0.2942 0.5000 In
0.5000 0.5000 0.0000 In
0.5144 0.7058 0.5000 In
0.7058 0.2058 0.1915 In
0.7942 0.9856 0.5000 In
0.9856 0.4856 0.1915 In
```

Summary:
Energy   -0.098 hartree per atom
ΔE_f   -63.7 meV per atom
M_tot   0.000 μB per atom
Distance to the lowest polymorph of the same formula   17 meV per atom

***

[6]
# LiIn5

LiIn5 after structural relaxation (PBE, the Alexandria database).

```
LiIn5
1.0
5.8344 -1.7030 0.0000
5.8344 1.7030 0.0000
-2.7401 0.0000 7.6197
Li In
1 5
direct
0.0000 0.0000 0.0000 Li
0.2946 0.2946 0.0547 In
0.3121 0.3121 0.6630 In
0.5953 0.5953 0.7511 In
0.6771 0.6771 0.3075 In
0.9665 0.9665 0.3987 In
```

Summary:
Energy   -0.098 hartree per atom
ΔE_f   -66.1 meV per atom
M_tot   0.000 μB per atom
Distance to the lowest polymorph of the same formula   15 meV per atom

***

[7]
# Li2In5

Li2In5 after structural relaxation (PBE, the Alexandria database).

```
Li2In5
1.0
10.0776 0.0000 0.0000
0.0000 10.0776 0.0000
0.0000 0.0000 3.2296
Li In
4 10
direct
0.1801 0.3199 0.0000 Li
0.3199 0.8199 0.0000 Li
0.6801 0.1801 0.0000 Li
0.8199 0.6801 0.0000 Li
0.0000 0.5000 0.5000 In
0.0620 0.7965 0.5000 In
0.2035 0.0620 0.5000 In
0.2965 0.5620 0.5000 In
0.4380 0.2965 0.5000 In
0.5000 0.0000 0.5000 In
0.5620 0.7035 0.5000 In
0.7035 0.4380 0.5000 In
0.7965 0.9380 0.5000 In
0.9380 0.2035 0.5000 In
```

Summary:
Energy   -0.097 hartree per atom
ΔE_f   -142.2 meV per atom
M_tot   0.000 μB per atom

***

[8]
# LiIn2

LiIn2 after structural relaxation (PBE, the Alexandria database).

```
LiIn2
1.0
5.7185 -1.7675 0.0000
5.7185 1.7675 0.0000
-1.2871 0.0000 6.9073
Li In
2 4
direct
0.0000 0.0000 0.0000 Li
0.6838 0.6838 0.3544 Li
0.2921 0.2921 0.0973 In
0.3402 0.3402 0.6687 In
0.6256 0.6256 0.7624 In
0.9766 0.9766 0.4043 In
```

Summary:
Energy   -0.096 hartree per atom
ΔE_f   -147.2 meV per atom
M_tot   0.000 μB per atom

***

- Among the records above, which one has the lowest ΔE_f?
  Li6In5

***

Repeat the third record exactly.
# LiIn2

LiIn2 after structural relaxation (PBE, the Alexandria database).

```
LiIn2
1.0
-1.9838 1.9838 4.3903
1.9838 -1.9838 4.3903
1.9838 1.9838 -4.3903
Li In
1 2
direct
0.0000 0.0000 0.0000 Li
0.3294 0.3294 0.0000 In
0.6706 0.6706 0.0000 In
```

Summary:
Energy   -0.096 hartree per atom
ΔE_f   -145.0 meV per atom
M_tot   0.000 μB per atom